A geometry-optimized Y4Zn2Cd structure. Source: the Alexandria database, functional GGA-PBE.

## Properties
total DFT energy (no corrections): -30.7 eV per cell
formation energy: -0.20 eV/atom
space group: R-3m
magnetization: 0.0 Bohr magnetons per cell

Cell: 5.093 5.093 8.659 Å, 72.90 72.90 60.00°
Positions (direct):
Y (0.869, 0.869, 0.393)
Y (0.131, 0.131, 0.607)
Y (0.616, 0.616, 0.152)
Y (0.384, 0.384, 0.848)
Zn (0.746, 0.746, 0.762)
Zn (0.254, 0.254, 0.238)
Cd (0.000, 0.000, 0.000)



A geometry-optimized CaHfB3 structure. Source: the Alexandria database, functional GGA-PBE.

## Properties
total DFT energy (no corrections): -21.5 eV per cell
formation energy: 2.09 eV/atom
space group: Pm-3m
offset from the most stable computed form: 1.156 eV per atom
magnetization: 1.0 Bohr magnetons per cell

Cell: 4.212 4.212 4.212 Å, 90.00 90.00 90.00°
Last column: magnetic moment on the atom in μB.
Positions (direct):
Ca (0.000, 0.000, 0.000)  0.31
B (0.000, 0.500, 0.000)  0.13
B (0.000, 0.000, 0.500)  0.06
B (0.500, 0.000, 0.000)  0.24
Hf (0.500, 0.500, 0.500)  -0.01



A geometry-optimized K2AlCl structure. Source: the Alexandria database, functional GGA-PBE.

## Properties
total DFT energy (no corrections): -9.5 eV per cell
formation energy without anion corrections: -0.426 eV per atom
space group: Cmmm
offset from the most stable computed form: 0.220 eV per atom
magnetization: 0.0 Bohr magnetons per cell

Cell: 6.046 6.046 3.734 Å, 90.00 90.00 100.30°
Positions (direct):
K (0.000, 0.000, 0.000)
K (0.500, 0.500, 0.000)
Al (0.500, 0.000, 0.500)
Cl (0.000, 0.500, 0.500)



A geometry-optimized Rb3Ac2PmS6 structure. Source: the Alexandria database, functional GGA-PBE.

## Properties
total DFT energy (no corrections): -62.9 eV per cell
formation energy without anion corrections: -1.858 eV per atom
space group: C2/m
magnetization: 0.0 Bohr magnetons per cell

Cell: 7.579 7.579 8.132 Å, 98.94 98.94 120.00°
Positions (direct):
Rb (0.167, 0.833, 0.500)
Rb (0.833, 0.167, 0.500)
Rb (0.500, 0.500, 0.500)
Ac (0.333, 0.667, 0.000)
Ac (0.667, 0.333, 0.000)
Pm (0.000, 0.000, 0.000)
S (0.933, 0.613, 0.799)
S (0.746, 0.746, 0.200)
S (0.067, 0.387, 0.201)
S (0.613, 0.933, 0.799)
S (0.254, 0.254, 0.800)
S (0.387, 0.067, 0.201)



A geometry-optimized LiTbH6Ir2 structure. Source: the Alexandria database, functional GGA-PBE.

## Properties
total DFT energy (no corrections): -97.0 eV per cell
space group: C2/c
magnetization: 0.0 Bohr magnetons per cell

Cell: 5.966 5.966 5.398 Å, 100.17 100.17 98.12°
Positions (direct):
Li (0.595, 0.405, 0.250)
Li (0.405, 0.595, 0.750)
Tb (0.169, 0.831, 0.250)
Tb (0.831, 0.169, 0.750)
H (0.909, 0.455, 0.135)
H (0.545, 0.091, 0.365)
H (0.091, 0.545, 0.865)
H (0.455, 0.909, 0.635)
H (0.178, 0.182, 0.071)
H (0.818, 0.822, 0.429)
H (0.822, 0.818, 0.929)
H (0.182, 0.178, 0.571)
H (0.313, 0.519, 0.383)
H (0.481, 0.687, 0.117)
H (0.687, 0.481, 0.617)
H (0.519, 0.313, 0.883)
Ir (0.329, 0.067, 0.824)
Ir (0.933, 0.671, 0.676)
Ir (0.671, 0.933, 0.176)
Ir (0.067, 0.329, 0.324)



A geometry-optimized TbInSeO2 structure. Source: the Alexandria database, functional GGA-PBE.

## Properties
total DFT energy (no corrections): -62.7 eV per cell
formation energy without anion corrections: -2.114 eV per atom
space group: P2_1/m
magnetization: 0.0 Bohr magnetons per cell

Cell: 4.126 6.803 7.548 Å, 116.03 90.00 90.00°
Positions (direct):
Tb (0.250, 0.676, 0.941)
Tb (0.750, 0.324, 0.059)
In (0.250, 0.668, 0.449)
In (0.750, 0.332, 0.551)
Se (0.250, 0.020, 0.773)
Se (0.750, 0.980, 0.227)
O (0.750, 0.541, 0.392)
O (0.250, 0.459, 0.608)
O (0.750, 0.508, 0.871)
O (0.250, 0.492, 0.129)



A geometry-optimized CaDy5Au6 structure. Source: the Alexandria database, functional GGA-PBE.

## Properties
total DFT energy (no corrections): -54.9 eV per cell
formation energy: -0.85 eV/atom
space group: C2/m
magnetization: 0.0 Bohr magnetons per cell

Cell: 5.089 7.203 8.823 Å, 114.09 106.51 90.00°
Positions (direct):
Ca (0.000, 0.000, 0.000)
Au (0.828, 0.569, 0.656)
Au (0.828, 0.087, 0.656)
Au (0.500, 0.737, 0.000)
Au (0.500, 0.263, 0.000)
Au (0.172, 0.913, 0.344)
Au (0.172, 0.431, 0.344)
Dy (0.662, 0.162, 0.324)
Dy (0.332, 0.332, 0.664)
Dy (0.000, 0.500, 0.000)
Dy (0.668, 0.668, 0.336)
Dy (0.338, 0.838, 0.676)



A geometry-optimized Cs2NaHgBr5 structure. Source: the Alexandria database, functional GGA-PBE.

## Properties
total DFT energy (no corrections): -46.6 eV per cell
formation energy without anion corrections: -1.288 eV per atom
space group: Cmc2_1
magnetization: 0.0 Bohr magnetons per cell

Cell: 4.546 11.006 14.837 Å, 90.00 90.00 101.92°
Positions (direct):
Cs (0.864, 0.727, 0.816)
Cs (0.130, 0.259, 0.684)
Cs (0.136, 0.273, 0.316)
Cs (0.870, 0.741, 0.184)
Na (0.785, 0.570, 0.533)
Na (0.215, 0.430, 0.033)
Hg (0.563, 0.127, 0.933)
Hg (0.437, 0.873, 0.433)
Br (0.347, 0.695, 0.003)
Br (0.683, 0.367, 0.885)
Br (0.501, 0.003, 0.780)
Br (0.296, 0.593, 0.656)
Br (0.954, 0.909, 0.534)
Br (0.653, 0.305, 0.503)
Br (0.317, 0.633, 0.385)
Br (0.499, 0.997, 0.280)
Br (0.704, 0.407, 0.156)
Br (0.046, 0.091, 0.034)



A geometry-optimized Mg2TlTe structure. Source: the Alexandria database, functional GGA-PBE.

## Properties
total DFT energy (no corrections): -9.3 eV per cell
formation energy without anion corrections: -0.140 eV per atom
space group: I4/mmm
offset from the most stable computed form: 0.144 eV per atom
magnetization: 0.0 Bohr magnetons per cell

Cell: 5.744 5.744 5.744 Å, 130.84 130.84 72.06°
Positions (direct):
Mg (0.000, 0.000, 0.000)
Mg (0.500, 0.500, 0.000)
Te (0.250, 0.750, 0.500)
Tl (0.750, 0.250, 0.500)



A geometry-optimized GeTe2As structure. Source: the Alexandria database, functional GGA-PBE.

## Properties
total DFT energy (no corrections): -29.0 eV per cell
formation energy without anion corrections: 0.258 eV per atom
space group: I-42d
offset from the most stable computed form: 0.225 eV per atom
magnetization: 0.0 Bohr magnetons per cell

Cell: 5.644 5.644 9.106 Å, 71.94 71.94 90.00°
Positions (direct):
As (0.000, 0.000, 0.000)
As (0.750, 0.250, 0.500)
Te (0.632, 0.125, 0.250)
Te (0.118, 0.625, 0.250)
Te (0.375, 0.368, 0.750)
Te (0.875, 0.882, 0.750)
Ge (0.500, 0.500, 0.000)
Ge (0.250, 0.750, 0.500)



A geometry-optimized RbPaS2O8 structure. Source: the Alexandria database, functional GGA-PBE.

## Properties
total DFT energy (no corrections): -80.4 eV per cell
formation energy without anion corrections: -1.835 eV per atom
space group: P-3m1
magnetization: 2.0 Bohr magnetons per cell

Cell: 5.572 5.572 8.546 Å, 90.00 90.00 120.00°
Last column: magnetic moment on the atom in μB.
Positions (direct):
Rb (0.000, 0.000, 0.500)  0.00
Pa (0.000, 0.000, 0.000)  1.78
S (0.333, 0.667, 0.758)  0.02
S (0.667, 0.333, 0.242)  0.02
O (0.188, 0.375, 0.821)  -0.01
O (0.188, 0.812, 0.821)  -0.01
O (0.625, 0.812, 0.821)  -0.01
O (0.375, 0.188, 0.179)  -0.01
O (0.667, 0.333, 0.412)  0.00
O (0.333, 0.667, 0.588)  0.00
O (0.812, 0.625, 0.179)  -0.01
O (0.812, 0.188, 0.179)  -0.01



A geometry-optimized P4Ru structure. Source: the Alexandria database, functional GGA-PBE.

## Properties
total DFT energy (no corrections): -26.8 eV per cell
formation energy: 0.83 eV/atom
space group: Pm-3m
offset from the most stable computed form: 1.279 eV per atom
magnetization: 0.0 Bohr magnetons per cell

Cell: 4.539 4.539 4.539 Å, 90.00 90.00 90.00°
Positions (direct):
Ru (0.500, 0.500, 0.500)
P (0.000, 0.000, 0.000)
P (0.500, 0.000, 0.500)
P (0.000, 0.500, 0.500)
P (0.500, 0.500, 0.000)



A geometry-optimized LiLaH6Pt2 structure. Source: the Alexandria database, functional GGA-PBE.

## Properties
total DFT energy (no corrections): -43.8 eV per cell
space group: R-3m
magnetization: 0.0 Bohr magnetons per cell

Cell: 4.571 4.571 5.975 Å, 67.51 67.51 60.00°
Positions (direct):
Li (0.500, 0.500, 0.500)
La (0.000, 0.000, 0.000)
H (0.091, 0.559, 0.791)
H (0.559, 0.091, 0.791)
H (0.441, 0.441, 0.209)
H (0.909, 0.441, 0.209)
H (0.441, 0.909, 0.209)
H (0.559, 0.559, 0.791)
Pt (0.791, 0.791, 0.627)
Pt (0.209, 0.209, 0.373)



A geometry-optimized TmMg8Ag2 structure. Source: the Alexandria database, functional GGA-PBE.

## Properties
total DFT energy (no corrections): -23.0 eV per cell
formation energy: -0.01 eV/atom
space group: C2/m
magnetization: 0.0 Bohr magnetons per cell

Cell: 5.297 7.483 7.483 Å, 113.93 80.75 80.75°
Positions (direct):
Tm (0.500, 0.000, 0.000)
Mg (0.904, 0.079, 0.320)
Mg (0.904, 0.320, 0.079)
Mg (0.298, 0.406, 0.406)
Mg (0.500, 0.255, 0.745)
Mg (0.500, 0.745, 0.255)
Mg (0.702, 0.594, 0.594)
Mg (0.096, 0.680, 0.921)
Mg (0.096, 0.921, 0.680)
Ag (0.000, 0.693, 0.307)
Ag (0.000, 0.307, 0.693)



A geometry-optimized In5Ga5Sn structure. Source: the Alexandria database, functional GGA-PBE.

## Properties
total DFT energy (no corrections): -32.3 eV per cell
formation energy: 0.05 eV/atom
space group: P-6m2
magnetization: 0.0 Bohr magnetons per cell

Cell: 5.464 5.464 10.277 Å, 90.00 90.00 120.00°
Positions (direct):
In (0.667, 0.333, 0.173)
In (0.667, 0.333, 0.827)
In (0.333, 0.667, 0.322)
In (0.333, 0.667, 0.678)
In (0.000, 0.000, 0.000)
Ga (0.341, 0.171, 0.500)
Ga (0.000, 0.000, 0.278)
Ga (0.829, 0.659, 0.500)
Ga (0.829, 0.171, 0.500)
Ga (0.000, 0.000, 0.722)
Sn (0.333, 0.667, 0.000)



A geometry-optimized NaSrCe2S4 structure. Source: the Alexandria database, functional GGA-PBE.

## Properties
total DFT energy (no corrections): -46.4 eV per cell
formation energy without anion corrections: -1.873 eV per atom
space group: P2/m
magnetization: 2.6 Bohr magnetons per cell

Cell: 4.114 7.272 7.095 Å, 71.00 90.00 90.00°
Last column: magnetic moment on the atom in μB.
Positions (direct):
Na (0.500, 0.500, 0.000)  0.00
Sr (0.000, 0.500, 0.500)  0.02
Ce (0.000, 0.000, 0.000)  1.04
Ce (0.500, 0.000, 0.500)  1.02
S (0.000, 0.764, 0.746)  -0.02
S (0.000, 0.236, 0.254)  -0.02
S (0.500, 0.761, 0.245)  -0.02
S (0.500, 0.239, 0.755)  -0.02



A geometry-optimized ZrFeTe2 structure. Source: the Alexandria database, functional GGA-PBE.

## Properties
total DFT energy (no corrections): -25.0 eV per cell
formation energy without anion corrections: -0.416 eV per atom
space group: Amm2
magnetization: 2.1 Bohr magnetons per cell

Cell: 6.635 6.635 3.692 Å, 90.00 90.00 34.40°
Last column: magnetic moment on the atom in μB.
Positions (direct):
Fe (0.258, 0.258, 0.125)  2.37
Te (0.042, 0.042, 0.125)  0.01
Te (0.765, 0.765, 0.625)  0.02
Zr (0.435, 0.435, 0.625)  -0.26



A geometry-optimized BaV2Se2 structure. Source: the Alexandria database, functional GGA-PBE.

## Properties
total DFT energy (no corrections): -30.4 eV per cell
formation energy without anion corrections: -0.645 eV per atom
space group: I4/mmm
offset from the most stable computed form: 0.000 eV per atom
magnetization: 0.0 Bohr magnetons per cell

Cell: 5.034 5.034 5.514 Å, 62.84 62.84 90.00°
Positions (direct):
Ba (0.000, 0.000, 0.000)
Se (0.750, 0.250, 0.500)
Se (0.250, 0.750, 0.500)
V (0.390, 0.390, 0.221)
V (0.610, 0.610, 0.779)



A geometry-optimized BaNaHg2 structure. Source: the Alexandria database, functional GGA-PBE.

## Properties
total DFT energy (no corrections): -9.2 eV per cell
formation energy: -0.18 eV/atom
space group: I-42d
offset from the most stable computed form: 0.210 eV per atom
magnetization: 0.0 Bohr magnetons per cell

Cell: 5.434 5.434 11.074 Å, 75.80 75.80 90.00°
Positions (direct):
Na (0.500, 0.500, 0.000)
Na (0.250, 0.750, 0.500)
Hg (0.497, 0.125, 0.250)
Hg (0.253, 0.625, 0.250)
Hg (0.375, 0.503, 0.750)
Hg (0.875, 0.747, 0.750)
Ba (0.000, 0.000, 0.000)
Ba (0.750, 0.250, 0.500)



A geometry-optimized InFeIr2 structure. Source: the Alexandria database, functional GGA-PBE.

## Properties
total DFT energy (no corrections): -28.6 eV per cell
formation energy: 0.09 eV/atom
space group: P4/mmm
magnetization: 4.3 Bohr magnetons per cell

Cell: 3.292 4.353 4.353 Å, 90.00 90.00 90.00°
Last column: magnetic moment on the atom in μB.
Positions (direct):
Fe (0.500, 0.500, 0.000)  3.22
In (0.500, 0.000, 0.500)  -0.03
Ir (0.000, 0.000, 0.000)  0.53
Ir (0.000, 0.500, 0.500)  0.53